Entry 1:
Here is a relaxed Ru2WBr crystal from Alexandria via LeMat-Bulk. Energies are from PBE-GGA.

- Energy relative to the elements, uncorrected: 193 kJ/mol of formula units
- Symmetry: No. 166
- Density of states at the Fermi level: 6.2 states/eV/f.u.

a = 8.8142 Å, b = 8.8142 Å, c = 8.8142 Å
α = 19.16°, β = 19.16°, γ = 19.16°
Last column: nearest neighbours and their distance in Å.
Fractional coordinates of all 4 atoms:
Ru1 0.2465 0.2465 0.2465  3 W 2.68, 3 Br 2.82, 6 Ru 2.93
Ru2 0.7535 0.7535 0.7535  3 W 2.68, 3 Br 2.82, 6 Ru 2.93
W1 0.5000 0.5000 0.5000  6 Ru 2.68, 6 W 2.93
Br1 0.0000 0.0000 0.0000  6 Ru 2.82, 6 Br 2.93

Entry 2:
Here is a relaxed NaMnTe3 crystal from Alexandria via LeMat-Bulk. Energies are from PBE-GGA.

- Energy relative to the elements, uncorrected: -64 kJ/mol of formula units
- Symmetry: No. 221
- Density of states at the Fermi level: 2.3 states/eV/f.u.

a = 5.3480 Å, b = 5.3480 Å, c = 5.3480 Å
α = 90.00°, β = 90.00°, γ = 90.00°
Last column: nearest neighbours and their distance in Å.
Fractional coordinates of all 5 atoms:
Na1 0.0000 0.0000 0.0000  12 Te 3.78
Mn1 0.5000 0.5000 0.5000  6 Te 2.67
Te1 0.0000 0.5000 0.5000  2 Mn 2.67
Te2 0.5000 0.0000 0.5000  2 Mn 2.67
Te3 0.5000 0.5000 0.0000  2 Mn 2.67

Entry 3:
Here is a relaxed Tc7C crystal from Alexandria via LeMat-Bulk. Energies are from PBE-GGA.

- ΔE_f: 74.1 kJ/mol of atoms
- Symmetry: No. 225
- Density of states at the Fermi level: 14.0 states/eV/f.u.

a = 5.3983 Å, b = 5.3983 Å, c = 5.3983 Å
α = 60.00°, β = 60.00°, γ = 60.00°
Last column: nearest neighbours and their distance in Å.
Fractional coordinates of all 8 atoms:
Tc1 0.0000 0.0000 0.0000  12 Tc 2.70
Tc2 0.0000 0.0000 0.5000  10 Tc 2.70, 2 C 2.70
Tc3 0.0000 0.5000 0.0000  10 Tc 2.70, 2 C 2.70
Tc4 0.0000 0.5000 0.5000  2 C 2.70, 10 Tc 2.70
Tc5 0.5000 0.0000 0.0000  10 Tc 2.70, 2 C 2.70
Tc6 0.5000 0.0000 0.5000  2 C 2.70, 10 Tc 2.70
Tc7 0.5000 0.5000 0.0000  2 C 2.70, 10 Tc 2.70
C1 0.5000 0.5000 0.5000  12 Tc 2.70

Entry 4:
Here is a relaxed NaHoSc2Te4 crystal from Alexandria via LeMat-Bulk. Energies are from PBE-GGA.

- Energy relative to the elements, uncorrected: -920 kJ/mol of formula units
- Symmetry: No. 10
- Density of states at the Fermi level: 4.1 states/eV/f.u.

a = 7.4045 Å, b = 4.2311 Å, c = 7.4769 Å
α = 90.00°, β = 108.70°, γ = 90.00°
Last column: nearest neighbours and their distance in Å.
Fractional coordinates of all 8 atoms:
Na1 0.0000 0.0000 0.0000  6 Te 3.08-3.10
Ho1 0.5000 0.5000 0.0000  6 Te 3.07-3.08
Sc1 0.0000 0.5000 0.5000  6 Te 2.98
Sc2 0.5000 0.0000 0.5000  6 Te 2.96-2.97
Te1 0.2464 0.0000 0.7376  3 Sc 2.97-2.98, 1 Na 3.08, 2 Ho 3.08
Te2 0.2578 0.5000 0.2657  3 Sc 2.96-2.98, 1 Ho 3.07, 2 Na 3.10
Te3 0.7422 0.5000 0.7343  3 Sc 2.96-2.98, 1 Ho 3.07, 2 Na 3.10
Te4 0.7536 0.0000 0.2624  3 Sc 2.97-2.98, 1 Na 3.08, 2 Ho 3.08

Entry 5:
Here is a relaxed YNi2Au crystal from Alexandria via LeMat-Bulk. Energies are from PBE-GGA.

- ΔE_f: -33.7 kJ/mol of atoms
- Symmetry: No. 139
- Density of states at the Fermi level: 1.1 states/eV/f.u.

a = 4.7236 Å, b = 4.7236 Å, c = 4.7236 Å
α = 126.80°, β = 126.80°, γ = 78.58°
Last column: nearest neighbours and their distance in Å.
Fractional coordinates of all 4 atoms:
Y1 0.0000 0.0000 0.0000  8 Ni 2.80, 4 Au 2.99
Ni1 0.2500 0.7500 0.5000  4 Au 2.80, 4 Y 2.80, 4 Ni 2.99
Ni2 0.7500 0.2500 0.5000  4 Au 2.80, 4 Y 2.80, 4 Ni 2.99
Au1 0.5000 0.5000 0.0000  8 Ni 2.80, 4 Y 2.99

Entry 6:
Here is a relaxed La2AgTePb crystal from Alexandria via LeMat-Bulk. Energies are from PBE-GGA.

- Energy relative to the elements, uncorrected: 137 kJ/mol of formula units
- Symmetry: No. 123
- Density of states at the Fermi level: 3.7 states/eV/f.u.

a = 6.1294 Å, b = 6.1294 Å, c = 5.8548 Å
α = 90.00°, β = 90.00°, γ = 90.00°
Last column: nearest neighbours and their distance in Å.
Fractional coordinates of all 5 atoms:
La1 0.0000 0.5000 0.0000  2 Pb 3.06
La2 0.5000 0.0000 0.0000  2 Pb 3.06
Ag1 0.0000 0.0000 0.5000  8 La 4.24, 4 Te 4.33
Te1 0.5000 0.5000 0.5000  2 Pb 2.93
Pb1 0.5000 0.5000 0.0000  2 Te 2.93, 4 La 3.06

Entry 7:
Here is a relaxed YZnOs crystal from Alexandria via LeMat-Bulk. Energies are from PBE-GGA.

- ΔE_f: -3.9 kJ/mol of atoms
- Symmetry: No. 107
- Density of states at the Fermi level: 2.1 states/eV/f.u.

a = 5.3829 Å, b = 5.3829 Å, c = 5.3829 Å
α = 142.99°, β = 142.99°, γ = 53.34°
Last column: nearest neighbours and their distance in Å.
Fractional coordinates of all 3 atoms:
Y1 0.0000 0.0000 0.0000  5 Zn 2.85-3.11, 5 Os 2.98-3.07
Zn1 0.2966 0.2966 0.0000  4 Os 2.66, 1 Y 2.85
Os1 0.6813 0.6813 0.0000  4 Zn 2.66

Entry 8:
Here is a relaxed La4Nd3Dy crystal from Alexandria via LeMat-Bulk. Energies are from PBE-GGA.

- ΔE_f: 32.1 kJ/mol of atoms
- Symmetry: No. 65
- Density of states at the Fermi level: 18.1 states/eV/f.u.

a = 7.7022 Å, b = 7.7022 Å, c = 6.0021 Å
α = 90.00°, β = 90.00°, γ = 126.25°
Last column: nearest neighbours and their distance in Å.
Fractional coordinates of all 8 atoms:
La1 0.2487 0.7513 0.0000  1 Dy 3.42, 5 Nd 3.45-3.47, 2 La 3.48
La2 0.2558 0.2558 0.5000  2 La 3.40-3.56, 4 Nd 3.44-3.45, 2 Dy 3.49
La3 0.7442 0.7442 0.5000  2 La 3.40-3.56, 4 Nd 3.44-3.45, 2 Dy 3.49
La4 0.7513 0.2487 0.0000  1 Dy 3.42, 5 Nd 3.45-3.47, 2 La 3.48
Nd1 0.0000 0.5000 0.5000  6 La 3.44-3.47, 2 Nd 3.48
Nd2 0.5000 0.0000 0.5000  6 La 3.44-3.47, 2 Nd 3.48
Nd3 0.5000 0.5000 0.0000  6 La 3.45, 2 Dy 3.48
Dy1 0.0000 0.0000 0.0000  6 La 3.42-3.49, 2 Nd 3.48